## KSbMoIr2 (PBE)

Data for an optimized crystal structure of KSbMoIr2.

Summary:
For the density of states at the Fermi level, the calculation gives 5.5 states/eV/f.u. The calculation puts the magnetization at 0.0 μB/f.u. The value obtained for the uncorrected formation energy is 1416 meV per atom.

a b c (Å): 4.7884 4.7884 5.2384
angles (deg): 90.00 90.00 90.00
Space group P4/mmm (No. 123)
Unique sites:
K (0.0000, 0.0000, 0.0000) (multiplicity 1)
Sb (0.5000, 0.5000, 0.0000) (multiplicity 1)
Mo (0.0000, 0.0000, 0.5000) (multiplicity 1)
Ir (0.0000, 0.5000, 0.5000) (multiplicity 2)